i.
Density functional theory data (PBE) for a relaxed structure of SrYGa.

Values from the calculation:
Magnetic moment = 0.00 Bohr magnetons per cell
Crystal system = tetragonal
Density of states at the Fermi level = 0.446 states/eV per atom

Unit cell a=5.0595 b=5.0595 c=7.6142 alpha=90.00 beta=90.00 gamma=90.00
Closest atoms and distances in Å follow each position.
Fractional positions:
Sr 0.2500 0.2500 0.1314  1 Ga 3.20
Sr 0.7500 0.7500 0.8686  1 Ga 3.20
Y 0.2500 0.7500 0.5000  4 Ga 3.00
Y 0.7500 0.2500 0.5000  4 Ga 3.00
Ga 0.2500 0.2500 0.7109  4 Y 3.00, 1 Sr 3.20
Ga 0.7500 0.7500 0.2891  4 Y 3.00, 1 Sr 3.20


ii.
Density functional theory data (PBE) for a relaxed structure of SrYGa.

Values from the calculation:
Magnetic moment = 0.00 Bohr magnetons per cell
Crystal system = tetragonal
Density of states at the Fermi level = 0.147 states/eV per atom

Unit cell a=8.4401 b=8.4401 c=8.4401 alpha=145.33 beta=145.33 gamma=49.84
Closest atoms and distances in Å follow each position.
Fractional positions:
Sr 0.1821 0.1821 0.0000  1 Ga 3.20
Sr 0.8179 0.8179 0.0000  1 Ga 3.20
Y 0.0000 0.5000 0.5000  4 Ga 3.02
Y 0.5000 0.0000 0.5000  4 Ga 3.02
Ga 0.3909 0.3909 0.0000  4 Y 3.02, 1 Sr 3.20, 1 Ga 3.34
Ga 0.6091 0.6091 0.0000  4 Y 3.02, 1 Sr 3.20, 1 Ga 3.34


iii.
Density functional theory data (PBE) for a relaxed structure of SrYGa.

Values from the calculation:
Magnetic moment = 0.00 Bohr magnetons per cell
Crystal system = tetragonal
Density of states at the Fermi level = 0.855 states/eV per atom

Unit cell a=3.7206 b=3.7206 c=13.6338 alpha=90.00 beta=90.00 gamma=90.00
Closest atoms and distances in Å follow each position.
Fractional positions:
Sr 0.0000 0.0000 0.1485  4 Ga 3.32
Sr 0.0000 0.0000 0.8515  4 Ga 3.32
Y 0.5000 0.5000 0.3776  4 Ga 3.12, 1 Y 3.34
Y 0.5000 0.5000 0.6224  4 Ga 3.12, 1 Y 3.34
Ga 0.0000 0.0000 0.5000  8 Y 3.12
Ga 0.5000 0.5000 0.0000  8 Sr 3.32


iv.
Density functional theory data (PBE) for a relaxed structure of SrYGa.

Values from the calculation:
Magnetic moment = 0.00 Bohr magnetons per cell
Crystal system = tetragonal
Density of states at the Fermi level = 0.654 states/eV per atom

Unit cell a=5.2860 b=5.2860 c=7.1571 alpha=90.00 beta=90.00 gamma=90.00
Closest atoms and distances in Å follow each position.
Fractional positions:
Sr 0.0000 0.5000 0.0000  4 Ga 3.38, 2 Y 3.58, 4 Sr 3.74
Sr 0.5000 0.0000 0.0000  4 Ga 3.38, 2 Y 3.58, 4 Sr 3.74
Y 0.0000 0.5000 0.5000  4 Ga 3.02
Y 0.5000 0.0000 0.5000  4 Ga 3.02
Ga 0.0000 0.0000 0.2945  1 Ga 2.94, 4 Y 3.02
Ga 0.0000 0.0000 0.7055  1 Ga 2.94, 4 Y 3.02


Energy ordering: i at the bottom, the next structure 0.012 eV/atom above.


i.
Density functional theory data (PBE) for a relaxed structure of Sr3YGa.

Values from the calculation:
Magnetic moment = 2.52 Bohr magnetons per cell
Crystal system = cubic
Density of states at the Fermi level = 1.260 states/eV per atom

Unit cell a=6.5063 b=6.5063 c=6.5063 alpha=90.00 beta=90.00 gamma=90.00
Closest atoms and distances in Å follow each position.
Fractional positions:
Sr 0.0000 0.0000 0.5000  2 Y 3.25
Sr 0.0000 0.5000 0.0000  2 Y 3.25
Sr 0.5000 0.0000 0.0000  2 Y 3.25
Y 0.0000 0.0000 0.0000  6 Sr 3.25
Ga 0.5000 0.5000 0.5000  12 Sr 4.60


ii.
Density functional theory data (PBE) for a relaxed structure of Sr3YGa.

Values from the calculation:
Magnetic moment = 1.27 Bohr magnetons per cell
Crystal system = cubic
Density of states at the Fermi level = 1.578 states/eV per atom

Unit cell a=6.1369 b=6.1369 c=6.1369 alpha=90.00 beta=90.00 gamma=90.00
Closest atoms and distances in Å follow each position.
Fractional positions:
Sr 0.0000 0.0000 0.5000  2 Ga 3.07
Sr 0.0000 0.5000 0.0000  2 Ga 3.07
Sr 0.5000 0.0000 0.0000  2 Ga 3.07
Y 0.5000 0.5000 0.5000  12 Sr 4.34
Ga 0.0000 0.0000 0.0000  6 Sr 3.07


Energy ordering: ii at the bottom, the next structure 0.659 eV/atom above.


i.
Density functional theory data (PBE) for a relaxed structure of SrY3Ga.

Values from the calculation:
Magnetic moment = 0.00 Bohr magnetons per cell
Crystal system = cubic
Density of states at the Fermi level = 0.356 states/eV per atom

Unit cell a=5.6368 b=5.6368 c=5.6368 alpha=90.00 beta=90.00 gamma=90.00
Closest atoms and distances in Å follow each position.
Fractional positions:
Sr 0.0000 0.0000 0.0000  6 Y 2.82
Y 0.0000 0.0000 0.5000  2 Sr 2.82
Y 0.0000 0.5000 0.0000  2 Sr 2.82
Y 0.5000 0.0000 0.0000  2 Sr 2.82
Ga 0.5000 0.5000 0.5000  12 Y 3.99


ii.
Density functional theory data (PBE) for a relaxed structure of SrY3Ga.

Values from the calculation:
Magnetic moment = 0.00 Bohr magnetons per cell
Crystal system = cubic
Density of states at the Fermi level = 1.117 states/eV per atom

Unit cell a=5.6556 b=5.6556 c=5.6556 alpha=90.00 beta=90.00 gamma=90.00
Closest atoms and distances in Å follow each position.
Fractional positions:
Sr 0.0000 0.0000 0.0000  12 Y 4.00
Y 0.0000 0.5000 0.5000  2 Ga 2.83
Y 0.5000 0.0000 0.5000  2 Ga 2.83
Y 0.5000 0.5000 0.0000  2 Ga 2.83
Ga 0.5000 0.5000 0.5000  6 Y 2.83


Energy ordering: ii at the bottom, the next structure 1.192 eV/atom above.


i.
Density functional theory data (PBE) for a relaxed structure of SrYGa4.

Values from the calculation:
Magnetic moment = 0.00 Bohr magnetons per cell
Crystal system = cubic
Density of states at the Fermi level = 0.589 states/eV per atom

Unit cell a=5.6539 b=5.6539 c=5.6539 alpha=60.00 beta=60.00 gamma=60.00
Closest atoms and distances in Å follow each position.
Fractional positions:
Sr 0.0000 0.0000 0.0000  12 Ga 3.32, 4 Y 3.46
Y 0.2500 0.2500 0.2500  12 Ga 3.31, 4 Sr 3.46
Ga 0.1265 0.6245 0.6245  6 Ga 2.82-2.84
Ga 0.6245 0.1265 0.6245  6 Ga 2.82-2.84
Ga 0.6245 0.6245 0.1265  6 Ga 2.82-2.84
Ga 0.6245 0.6245 0.6245  6 Ga 2.82-2.84


ii.
Density functional theory data (PBE) for a relaxed structure of SrYGa4.

Values from the calculation:
Magnetic moment = 0.00 Bohr magnetons per cell
Crystal system = tetragonal
Density of states at the Fermi level = 0.628 states/eV per atom

Unit cell a=8.1698 b=8.1698 c=8.1698 alpha=149.58 beta=149.58 gamma=43.56
Closest atoms and distances in Å follow each position.
Fractional positions:
Sr 0.0000 0.0000 0.0000  12 Ga 3.30-3.35
Y 0.7500 0.2500 0.5000  12 Ga 3.27-3.29
Ga 0.1697 0.6697 0.5000  3 Ga 2.44-2.49
Ga 0.3303 0.8303 0.5000  3 Ga 2.44-2.49
Ga 0.4141 0.4141 0.0000  3 Ga 2.49-2.61
Ga 0.5859 0.5859 0.0000  3 Ga 2.49-2.61


Energy ordering: ii at the bottom, the next structure 0.090 eV/atom above.


i.
Density functional theory data (PBE) for a relaxed structure of SrYGa3.

Values from the calculation:
Magnetic moment = 0.47 Bohr magnetons per cell
Crystal system = cubic
Density of states at the Fermi level = 1.012 states/eV per atom

Unit cell a=5.4728 b=5.4728 c=5.4728 alpha=90.00 beta=90.00 gamma=90.00
Closest atoms and distances in Å follow each position.
Fractional positions:
Sr 0.0000 0.0000 0.0000  12 Ga 3.87
Y 0.5000 0.5000 0.5000  6 Ga 2.74
Ga 0.0000 0.5000 0.5000  2 Y 2.74
Ga 0.5000 0.0000 0.5000  2 Y 2.74
Ga 0.5000 0.5000 0.0000  2 Y 2.74


ii.
Density functional theory data (PBE) for a relaxed structure of SrYGa3.

Values from the calculation:
Magnetic moment = 0.00 Bohr magnetons per cell
Crystal system = cubic
Density of states at the Fermi level = 0.759 states/eV per atom

Unit cell a=5.4423 b=5.4423 c=5.4423 alpha=90.00 beta=90.00 gamma=90.00
Closest atoms and distances in Å follow each position.
Fractional positions:
Sr 0.0000 0.0000 0.0000  6 Ga 2.72
Y 0.5000 0.5000 0.5000  12 Ga 3.85
Ga 0.0000 0.0000 0.5000  2 Sr 2.72
Ga 0.0000 0.5000 0.0000  2 Sr 2.72
Ga 0.5000 0.0000 0.0000  2 Sr 2.72


iii.
Density functional theory data (PBE) for a relaxed structure of SrYGa3.

Values from the calculation:
Magnetic moment = 0.00 Bohr magnetons per cell
Crystal system = orthorhombic
Density of states at the Fermi level = 0.802 states/eV per atom

Unit cell a=13.2721 b=13.2721 c=4.2307 alpha=90.00 beta=90.00 gamma=160.28
Closest atoms and distances in Å follow each position.
Fractional positions:
Sr 0.0748 0.9252 0.7500  12 Ga 3.35-3.57
Sr 0.9252 0.0748 0.2500  12 Ga 3.35-3.57
Y 0.2039 0.7961 0.2500  7 Ga 3.03-3.17
Y 0.7961 0.2039 0.7500  7 Ga 3.03-3.17
Ga 0.3198 0.6802 0.2500  2 Ga 2.59
Ga 0.3771 0.6229 0.7500  3 Ga 2.55-2.59
Ga 0.4745 0.5255 0.7500  3 Ga 2.50-2.55
Ga 0.5255 0.4745 0.2500  3 Ga 2.50-2.55
Ga 0.6229 0.3771 0.2500  3 Ga 2.55-2.59
Ga 0.6802 0.3198 0.7500  2 Ga 2.59


Energy ordering: iii at the bottom, the next structure 0.649 eV/atom above.


i.
Density functional theory data (PBE) for a relaxed structure of Sr4ZnGa.

Values from the calculation:
Magnetic moment = 0.00 Bohr magnetons per cell
Crystal system = monoclinic
Density of states at the Fermi level = 1.017 states/eV per atom

Unit cell a=9.2188 b=9.2188 c=7.3779 alpha=109.16 beta=109.16 gamma=111.50
Closest atoms and distances in Å follow each position.
Fractional positions:
Sr 0.0535 0.6849 0.9008  2 Ga 3.40-3.48, 2 Zn 3.52-3.56
Sr 0.2511 0.3632 0.7405  2 Zn 3.24-3.34, 2 Ga 3.28-3.50
Sr 0.3151 0.9465 0.5992  2 Ga 3.40-3.48, 2 Zn 3.52-3.56
Sr 0.3632 0.2511 0.2405  2 Zn 3.24-3.34, 2 Ga 3.28-3.50
Sr 0.6368 0.7489 0.7595  2 Zn 3.24-3.34, 2 Ga 3.28-3.50
Sr 0.6849 0.0535 0.4008  2 Ga 3.40-3.48, 2 Zn 3.52-3.56
Sr 0.7489 0.6368 0.2595  2 Zn 3.24-3.34, 2 Ga 3.28-3.50
Sr 0.9465 0.3151 0.0992  2 Ga 3.40-3.48, 2 Zn 3.52-3.56
Zn 0.0011 0.9989 0.7500  8 Sr 3.24-3.56
Zn 0.9989 0.0011 0.2500  8 Sr 3.24-3.56
Ga 0.3661 0.6339 0.2500  8 Sr 3.28-3.50
Ga 0.6339 0.3661 0.7500  8 Sr 3.28-3.50


ii.
Density functional theory data (PBE) for a relaxed structure of Sr4ZnGa.

Values from the calculation:
Magnetic moment = 0.00 Bohr magnetons per cell
Crystal system = tetragonal
Density of states at the Fermi level = 1.003 states/eV per atom

Unit cell a=3.9654 b=3.9654 c=14.2823 alpha=90.00 beta=90.00 gamma=90.00
Closest atoms and distances in Å follow each position.
Fractional positions:
Sr 0.0000 0.0000 0.1294  4 Ga 3.36, 1 Sr 3.70
Sr 0.0000 0.0000 0.8706  4 Ga 3.36, 1 Sr 3.70
Sr 0.5000 0.5000 0.3672  4 Zn 3.39
Sr 0.5000 0.5000 0.6328  4 Zn 3.39
Zn 0.0000 0.0000 0.5000  8 Sr 3.39
Ga 0.5000 0.5000 0.0000  8 Sr 3.36


Energy ordering: ii at the bottom, the next structure 0.040 eV/atom above.